No. 1
Here is Ba2CaCd3Pb4 after structural relaxation from Alexandria. Energies are from PBE-GGA.

The structure in POSCAR format:
```
Ba2CaCd3Pb4
1.0
5.052 0.000 0.000
0.000 5.052 0.000
0.000 0.000 13.108
Ba Pb Cd Ca
2 4 3 1
Cartesian
2.526 0.000 3.179
0.000 2.526 9.930
2.526 0.000 8.429
0.000 2.526 4.679
0.000 0.000 0.000
2.526 2.526 0.000
0.000 2.526 1.782
2.526 0.000 11.326
0.000 0.000 6.554
2.526 2.526 6.554
```

The calculation puts the energy of formation from the pure elements at -0.396 eV/atom. Its space-group type is P-4m2 (115). Its theoretical density is 7.3 g cm⁻³. As for the crystal system: tetragonal. Its volume is 334.60 Å³/f.u.


No. 2
Here is Cd2TcRu2 after structural relaxation from Alexandria. Energies are from PBE-GGA.

The structure in POSCAR format:
```
Cd2TcRu2
1.0
2.995 5.597 3.869
-0.698 3.325 6.613
0.582 -6.074 -4.247
Cd Tc Ru
2 1 2
Cartesian
2.363 1.992 2.431
0.517 0.856 3.803
0.000 0.000 0.000
1.348 5.237 6.152
0.949 3.685 4.329
```

The calculation puts the energy of formation from the pure elements at 1.010 eV/atom. Its space-group type is I4/mmm (139). Its theoretical density is 9.5 g cm⁻³. As for the crystal system: tetragonal. Its volume is 91.87 Å³/f.u.


No. 3
Here is Mn2Ni6Ge after structural relaxation from Alexandria. Energies are from PBE-GGA.

The structure in POSCAR format:
```
Mn2Ni6Ge
1.0
2.601 0.000 -0.371
0.000 6.709 0.000
-1.709 -3.355 6.554
Mn Ge Ni
2 1 6
Cartesian
1.632 3.355 2.111
-0.740 0.000 4.073
0.000 0.000 0.000
0.284 5.461 1.994
0.608 2.107 4.190
1.301 4.594 -0.185
1.301 2.115 -0.185
0.608 -2.107 4.190
0.284 1.248 1.994
```

The calculation puts the energy of formation from the pure elements at 0.026 eV/atom. Its space-group type is C2/m (12). Its theoretical density is 8.1 g cm⁻³. As for the crystal system: monoclinic. Its volume is 110.15 Å³/f.u. The value obtained for the energy above the most stable polymorph in this dataset is 0.0076 eV per atom.


No. 4
Here is Co5Te after structural relaxation from Alexandria. Energies are from PBE-GGA.

The structure in POSCAR format:
```
Co5Te
1.0
1.430 4.642 -0.006
-1.430 4.642 -0.006
0.000 1.682 5.781
Co Te
5 1
Cartesian
0.000 3.781 1.998
0.000 4.881 4.105
0.000 10.872 5.681
0.000 1.149 2.370
0.000 7.343 3.746
0.000 6.701 0.370
```

Its space-group type is Cm (8). As for the energy relative to the elements, uncorrected: 283.3 meV per atom. Its theoretical density is 9.1 g cm⁻³. As for the crystal system: monoclinic. Its volume is 76.78 Å³/f.u. The value obtained for the energy above the most stable polymorph in this dataset is 0.1471 eV per atom.


No. 5
Here is Pu5Ge6 after structural relaxation from Alexandria. Energies are from PBE-GGA.

The structure in POSCAR format:
```
Pu5Ge6
1.0
-3.265 -4.163 1.108
3.888 -2.096 3.584
-3.616 7.333 3.701
Ge Pu
6 5
Cartesian
-2.883 0.202 5.446
-0.110 0.872 2.947
-0.580 -2.649 1.525
-4.778 1.223 3.702
-2.413 3.723 6.868
1.784 -0.149 4.691
-2.639 -0.802 2.394
-0.821 -1.686 4.423
-2.172 2.760 3.970
-0.354 1.876 6.000
1.944 -1.048 1.792
```

The calculation puts the energy of formation from the pure elements at -0.316 eV/atom. Its space-group type is Immm (71). Its theoretical density is 11.1 g cm⁻³. As for the crystal system: orthorhombic. Its volume is 248.19 Å³/f.u.


No. 6
Here is LaOs2Rh after structural relaxation from Alexandria. Energies are from PBE-GGA.

The structure in POSCAR format:
```
LaOs2Rh
1.0
-0.506 0.629 2.800
2.128 -1.825 0.794
5.494 6.231 -0.406
Os La Rh
2 1 1
Cartesian
1.125 1.276 -0.083
4.368 4.955 -0.323
3.558 2.518 1.594
0.811 -0.598 1.797
```

The calculation puts the energy of formation from the pure elements at 0.431 eV/atom. Its space-group type is P4/mmm (123). Its theoretical density is 14.6 g cm⁻³. As for the crystal system: tetragonal. Its volume is 70.60 Å³/f.u. The value obtained for the energy above the most stable polymorph in this dataset is 0.2537 eV per atom.


No. 7
Here is ErZn3Ir after structural relaxation from Alexandria. Energies are from PBE-GGA.

The structure in POSCAR format:
```
ErZn3Ir
1.0
-1.548 3.373 2.163
-3.938 1.932 -5.832
-0.420 -2.723 3.947
Zn Ir Er
3 1 1
Cartesian
-2.600 0.344 1.869
-1.913 -0.504 -0.583
-0.440 -1.227 1.598
-2.443 0.618 -2.712
-4.563 1.314 -1.050
```

The calculation puts the energy of formation from the pure elements at -0.299 eV/atom. Its space-group type is Amm2 (38). Its theoretical density is 9.4 g cm⁻³. As for the crystal system: orthorhombic. Its volume is 98.42 Å³/f.u.


No. 8
Here is ZrSbI2N after structural relaxation from Alexandria. Energies are from PBE-GGA.

The structure in POSCAR format:
```
ZrSbI2N
1.0
6.036 0.000 0.000
0.000 6.036 0.000
0.000 0.000 3.989
Sb N I Zr
1 1 2 1
Cartesian
3.018 3.018 1.994
0.000 0.000 1.994
3.018 0.000 0.000
0.000 3.018 0.000
0.000 0.000 0.000
```

Its space-group type is P4/mmm (123). As for the energy relative to the elements, uncorrected: 51.6 meV per atom. Its theoretical density is 5.5 g cm⁻³. As for the crystal system: tetragonal. Its volume is 145.29 Å³/f.u. The value obtained for the energy above the most stable polymorph in this dataset is 0.0000 eV per atom.


No. 9
Here is Pr3MgO5 after structural relaxation from Alexandria. Energies are from PBE-GGA.

The structure in POSCAR format:
```
Pr3MgO5
1.0
-5.813 -2.990 -0.568
1.102 -0.927 -6.401
4.964 -3.344 4.702
Mg O Pr
2 10 6
Cartesian
1.855 -3.115 -2.592
-1.602 -4.146 0.325
3.967 -2.852 0.004
-3.714 -4.409 -2.271
-2.355 -1.959 -3.485
2.397 -2.912 3.105
-0.316 -4.569 1.700
0.569 -2.692 -3.967
1.254 -4.509 -1.402
0.000 0.000 0.000
-1.000 -2.752 -0.866
-2.144 -4.349 -5.373
-3.713 -2.166 -1.477
-0.997 -1.751 -5.492
-0.633 -0.817 -2.202
-4.078 -3.100 -4.768
1.304 -2.651 0.609
-1.051 -4.610 -2.876
```

Its space-group type is I4/mcm (140). As for the energy relative to the elements, uncorrected: -2804.0 meV per atom. Its theoretical density is 6.7 g cm⁻³. As for the crystal system: tetragonal. Its volume is 129.87 Å³/f.u.


No. 10
Here is Ac3Al7Au4 after structural relaxation from Alexandria. Energies are from PBE-GGA.

The structure in POSCAR format:
```
Ac3Al7Au4
1.0
4.433 0.000 1.118
1.626 8.020 2.902
0.130 0.090 8.831
Au Al Ac
4 7 3
Cartesian
0.817 0.825 6.107
2.483 4.275 8.849
3.706 3.834 4.003
5.371 7.285 6.745
0.000 0.000 0.000
3.335 1.509 5.472
2.664 1.765 8.133
2.854 6.601 7.379
1.684 5.000 2.671
4.505 3.110 10.180
3.525 6.344 4.718
4.479 6.545 10.280
0.878 4.055 5.866
1.709 1.564 2.571
```

The calculation puts the energy of formation from the pure elements at -0.586 eV/atom. Its space-group type is C2/m (12). Its theoretical density is 8.8 g cm⁻³. As for the crystal system: monoclinic. Its volume is 311.82 Å³/f.u.


No. 11
Here is Fe2TcMoH after structural relaxation from Alexandria. Energies are from PBE-GGA.

The structure in POSCAR format:
```
Fe2TcMoH
1.0
3.726 0.000 0.000
0.000 3.726 0.000
0.000 0.000 3.834
H Fe Tc Mo
1 2 1 1
Cartesian
0.000 0.000 0.000
0.000 1.863 0.000
1.863 0.000 0.000
0.000 0.000 1.917
1.863 1.863 1.917
```

Its space-group type is P4/mmm (123). Its theoretical density is 9.6 g cm⁻³. As for the crystal system: tetragonal. Its volume is 53.23 Å³/f.u. The value obtained for the energy above the most stable polymorph in this dataset is 0.0000 eV per atom.


No. 12
Here is Dy3ZnHg after structural relaxation from Alexandria. Energies are from PBE-GGA.

The structure in POSCAR format:
```
Dy3ZnHg
1.0
-1.567 4.595 1.658
-0.714 -1.939 4.700
8.543 4.622 3.204
Dy Hg Zn
6 2 2
Cartesian
3.638 1.202 5.254
-0.294 3.596 2.841
6.624 5.319 4.603
0.189 0.343 4.376
5.540 6.662 7.796
3.176 4.460 3.725
2.272 1.742 2.466
4.542 3.920 6.513
1.070 3.055 5.629
4.177 7.203 5.008
```

The calculation puts the energy of formation from the pure elements at -0.301 eV/atom. Its space-group type is Cmcm (63). Its theoretical density is 9.6 g cm⁻³. As for the crystal system: orthorhombic. Its volume is 130.40 Å³/f.u. The value obtained for the energy above the most stable polymorph in this dataset is 0.0000 eV per atom.


No. 13
Here is SiHg2Te after structural relaxation from Alexandria. Energies are from PBE-GGA.

The structure in POSCAR format:
```
SiHg2Te
1.0
-2.839 -2.598 -0.827
-0.391 -0.523 2.984
-5.864 6.990 -1.826
Te Hg Si
1 2 1
Cartesian
-5.847 3.292 0.365
-0.450 -0.405 2.816
-3.145 0.455 0.001
-3.168 3.236 0.711
```

Its space-group type is Pm (6). As for the energy relative to the elements, uncorrected: 188.7 meV per atom. Its theoretical density is 8.5 g cm⁻³. As for the crystal system: monoclinic. Its volume is 108.61 Å³/f.u. The value obtained for the energy above the most stable polymorph in this dataset is 0.0737 eV per atom.


No. 14
Here is TlCuHg2 after structural relaxation from Alexandria. Energies are from PBE-GGA.

The structure in POSCAR format:
```
TlCuHg2
1.0
4.247 0.000 0.000
0.000 4.304 0.161
0.000 2.198 5.491
Tl Hg Cu
1 2 1
Cartesian
2.124 1.625 1.413
0.000 3.691 3.026
0.000 6.061 5.452
2.124 4.876 4.239
```

The calculation puts the energy of formation from the pure elements at 0.174 eV/atom. Its space-group type is P2/m (10). Its theoretical density is 11.2 g cm⁻³. As for the crystal system: monoclinic. Its volume is 98.87 Å³/f.u.


No. 15
Here is SrPu4Pt4 after structural relaxation from Alexandria. Energies are from PBE-GGA.

The structure in POSCAR format:
```
SrPu4Pt4
1.0
7.102 0.000 0.000
0.000 7.102 0.000
0.000 0.000 9.420
Pu Pt Sr
8 8 2
Cartesian
5.250 0.000 6.028
3.551 1.699 1.319
0.000 5.250 3.391
1.699 3.551 8.101
3.551 5.403 1.319
5.403 3.551 8.101
1.852 0.000 6.028
0.000 1.852 3.391
2.145 0.000 3.199
5.696 3.551 1.511
1.406 3.551 1.511
4.956 0.000 3.199
0.000 2.145 6.221
3.551 1.406 7.909
0.000 4.956 6.221
3.551 5.696 7.909
0.000 0.000 0.000
3.551 3.551 4.710
```

The calculation puts the energy of formation from the pure elements at -0.621 eV/atom. Its space-group type is P4_2/nmc (137). Its theoretical density is 12.9 g cm⁻³. As for the crystal system: tetragonal. Its volume is 237.53 Å³/f.u.


No. 16
Here is LiPbW after structural relaxation from Alexandria. Energies are from PBE-GGA.

The structure in POSCAR format:
```
LiPbW
1.0
7.359 1.118 0.000
5.640 4.857 0.000
-6.500 -2.988 2.058
W Pb Li
1 1 1
Cartesian
8.581 3.944 0.000
4.224 1.942 0.000
0.195 0.089 0.000
```

The calculation puts the energy of formation from the pure elements at 0.699 eV/atom. Its space-group type is I4mm (107). Its theoretical density is 10.9 g cm⁻³. As for the crystal system: tetragonal. Its volume is 60.57 Å³/f.u. The value obtained for the energy above the most stable polymorph in this dataset is 0.0420 eV per atom.


No. 17
Here is CaCrCBr2 after structural relaxation from Alexandria. Energies are from PBE-GGA.

The structure in POSCAR format:
```
CaCrCBr2
1.0
-0.623 -0.572 5.560
1.965 -4.391 -0.232
5.097 2.238 0.802
Cr C Br Ca
1 1 2 1
Cartesian
3.219 -1.362 3.065
0.982 -2.195 -0.116
2.548 1.119 0.401
-0.312 -0.286 2.780
0.000 0.000 0.000
```

Its space-group type is P4/mmm (123). As for the energy relative to the elements, uncorrected: 703.9 meV per atom. Its theoretical density is 2.9 g cm⁻³. As for the crystal system: tetragonal. Its volume is 152.32 Å³/f.u.


No. 18
Here is ErZn2AgAu2 after structural relaxation from Alexandria. Energies are from PBE-GGA.

The structure in POSCAR format:
```
ErZn2AgAu2
1.0
4.553 0.000 0.000
-2.277 3.943 0.000
0.000 0.000 6.266
Er Au Zn Ag
1 2 2 1
Cartesian
0.000 0.000 0.000
0.000 2.629 1.560
2.277 1.314 4.706
0.000 2.629 4.383
2.277 1.314 1.883
0.000 0.000 3.133
```

The calculation puts the energy of formation from the pure elements at -0.458 eV/atom. Its space-group type is P-3m1 (164). Its theoretical density is 11.8 g cm⁻³. As for the crystal system: trigonal. Its volume is 112.50 Å³/f.u.


No. 19
Here is Cs5In3Cl12 after structural relaxation from Alexandria. Energies are from PBE-GGA.

The structure in POSCAR format:
```
Cs5In3Cl12
1.0
16.860 0.000 0.000
-5.620 15.896 0.000
-5.620 -7.948 13.767
Cs Cl In
20 48 12
Cartesian
-1.405 3.974 3.442
-1.405 12.916 1.721
8.430 0.000 0.000
2.810 3.974 6.883
-5.620 3.974 6.883
-2.810 7.948 0.000
7.025 3.974 10.325
-1.405 0.994 8.604
-2.810 -3.974 6.883
1.405 4.968 12.046
5.620 7.948 0.000
4.215 2.981 1.721
7.025 -4.968 12.046
9.835 -0.994 8.604
1.405 -3.974 10.325
7.025 6.955 5.162
4.215 11.922 3.442
5.620 -3.974 6.883
0.000 0.000 0.000
-4.215 8.942 5.162
-1.753 -2.705 12.718
-6.677 2.705 12.718
7.373 5.688 1.818
-2.715 12.822 5.065
6.677 0.444 10.900
-8.525 6.823 12.078
-3.814 -2.244 9.620
4.776 6.529 7.932
-0.844 7.579 11.030
4.617 4.713 13.637
8.336 -4.874 8.701
3.655 8.318 11.030
8.525 1.950 7.013
-1.966 9.368 7.932
-4.617 2.244 9.620
-1.057 7.504 2.867
1.753 -0.444 10.900
7.373 10.653 1.048
12.085 -1.789 5.195
0.095 -6.823 12.078
1.003 10.417 4.017
1.807 12.661 0.130
5.715 9.898 6.753
5.526 3.074 5.065
1.807 5.479 4.017
12.297 5.243 1.048
9.434 10.192 4.147
1.966 -0.369 2.737
-0.095 -1.950 7.013
3.814 -4.713 13.637
-6.465 9.737 8.571
10.184 -2.260 11.948
14.145 1.125 1.688
-4.563 10.208 1.818
3.867 8.393 2.867
0.844 1.419 5.835
-2.905 5.998 6.753
9.275 6.159 8.571
0.095 4.874 8.701
10.237 5.704 4.147
5.526 14.771 1.688
-1.753 2.260 11.948
6.465 0.369 2.737
1.003 3.235 0.130
3.814 2.469 9.750
4.617 -2.469 9.750
-3.655 1.789 5.195
7.586 -1.419 5.835
9.835 10.929 1.721
4.215 8.942 8.604
9.835 4.968 1.721
7.025 0.994 5.162
-4.215 -2.981 12.046
1.405 7.948 3.442
-7.025 7.948 10.325
1.405 -0.994 5.162
-1.405 6.955 8.604
12.645 0.000 3.442
-4.215 2.981 12.046
4.215 0.000 10.325
```

Its space-group type is Ia-3d (230). As for the energy relative to the elements, uncorrected: -1407.0 meV per atom. Its theoretical density is 2.6 g cm⁻³. As for the crystal system: cubic. Its volume is 922.42 Å³/f.u.